# 1
Density functional theory data (PBEsol) for crystalline CrBC2 at its relaxed geometry.

The structure in POSCAR format:
```
CrBC2
1.0
-2.099 2.099 3.860
2.099 -2.099 3.860
2.099 2.099 -3.860
Cr B C
2 2 4
Direct
0.000 0.000 0.000
0.750 0.250 0.500
0.250 0.750 0.500
0.500 0.500 0.000
0.167 0.625 0.042
0.375 0.417 0.542
0.583 0.125 0.958
0.875 0.833 0.458
```

Values from the calculation:
energy	-8.5441	eV per atom
space group	I-42d, No. 122
theoretical density	4.241	g cm⁻³
V	8.50	Å³/atom


# 2
Density functional theory data (PBEsol) for crystalline Cr3BC at its relaxed geometry.

The structure in POSCAR format:
```
Cr3BC
1.0
3.687 0.000 0.000
0.000 3.687 0.000
0.000 0.000 3.687
Cr B C
3 1 1
Direct
0.000 0.000 0.500
0.000 0.500 0.000
0.500 0.000 0.000
0.500 0.500 0.500
0.000 0.000 0.000
```

Values from the calculation:
energy	-9.0762	eV per atom
space group	Pm-3m, No. 221
theoretical density	5.924	g cm⁻³
V	10.02	Å³/atom


# 3
Density functional theory data (PBEsol) for crystalline Cr46B3C9 at its relaxed geometry.

The structure in POSCAR format:
```
Cr46B3C9
1.0
7.390 0.000 0.000
3.684 6.418 0.000
3.661 2.085 12.082
Cr B C
46 3 9
Direct
0.000 0.000 0.000
0.000 0.663 0.339
0.008 0.660 0.998
0.022 0.020 0.600
0.141 0.142 0.240
0.160 0.508 0.497
0.161 0.161 0.840
0.164 0.499 0.838
0.164 0.831 0.169
0.169 0.494 0.169
0.208 0.207 0.044
0.261 0.781 0.360
0.263 0.264 0.359
0.285 0.760 0.860
0.324 0.324 0.663
0.332 0.667 0.670
0.335 0.982 0.672
0.384 0.898 0.481
0.400 0.882 0.978
0.404 0.405 0.978
0.460 0.456 0.295
0.478 0.831 0.169
0.487 0.180 0.167
0.500 0.164 0.837
0.503 0.500 0.499
0.511 0.158 0.497
0.521 0.521 0.098
0.641 0.641 0.742
0.658 0.010 0.996
0.664 0.653 0.342
0.667 0.002 0.341
0.668 0.331 0.670
0.673 0.990 0.669
0.709 0.706 0.545
0.760 0.285 0.860
0.762 0.761 0.858
0.789 0.257 0.361
0.804 0.832 0.169
0.831 0.169 0.170
0.834 0.483 0.172
0.882 0.400 0.979
0.903 0.380 0.480
0.907 0.903 0.479
0.957 0.957 0.795
0.984 0.333 0.672
0.991 0.671 0.669
0.198 0.195 0.535
0.426 0.967 0.306
0.697 0.696 0.033
0.196 0.747 0.532
0.249 0.693 0.031
0.471 0.470 0.808
0.471 0.916 0.809
0.695 0.248 0.030
0.750 0.192 0.532
0.917 0.471 0.809
0.974 0.414 0.309
0.974 0.970 0.308
```

Values from the calculation:
energy	-10.1280	eV per atom
space group	P1, No. 1
theoretical density	7.338	g cm⁻³
V	9.88	Å³/atom


# 4
Density functional theory data (PBEsol) for crystalline YCrB2C at its relaxed geometry.

The structure in POSCAR format:
```
YCrB2C
1.0
3.646 0.000 0.000
0.000 3.646 0.000
0.000 0.000 4.422
Y Cr B C
1 1 2 1
Direct
0.000 0.000 0.000
0.500 0.500 0.000
0.000 0.500 0.500
0.500 0.000 0.500
0.000 0.000 0.500
```

Values from the calculation:
energy	-6.7997	eV per atom
space group	P4/mmm, No. 123
theoretical density	4.931	g cm⁻³
V	11.76	Å³/atom


# 5
Density functional theory data (PBEsol) for crystalline CsZr2BC at its relaxed geometry.

The structure in POSCAR format:
```
CsZr2BC
1.0
5.058 0.000 0.000
0.000 5.058 0.000
0.000 0.000 3.103
Cs Zr B C
1 2 1 1
Direct
0.000 0.000 0.000
0.000 0.500 0.500
0.500 0.000 0.500
0.500 0.500 0.500
0.500 0.500 0.000
```

Values from the calculation:
energy	-6.0874	eV per atom
space group	P4/mmm, No. 123
theoretical density	7.073	g cm⁻³
V	15.88	Å³/atom


# 6
Density functional theory data (PBEsol) for crystalline Cu3BC at its relaxed geometry.

The structure in POSCAR format:
```
Cu3BC
1.0
3.779 0.000 0.000
0.000 3.779 0.000
0.000 0.000 3.779
Cu B C
3 1 1
Direct
0.000 0.000 0.500
0.000 0.500 0.000
0.500 0.000 0.000
0.500 0.500 0.500
0.000 0.000 0.000
```

Values from the calculation:
energy	-4.9214	eV per atom
space group	Pm-3m, No. 221
theoretical density	6.567	g cm⁻³
V	10.80	Å³/atom


Number 1: total magnetic moment 0.19 μB per atom, E_form 229 kJ/mol of formula units. Number 2: total magnetic moment 0.00 μB per atom, E_form 193 kJ/mol of formula units. Number 3: total magnetic moment 0.00 μB per atom, E_form -815 kJ/mol of formula units. Number 4: total magnetic moment 0.65 μB per atom, E_form 651 kJ/mol of formula units. Number 5: total magnetic moment 0.00 μB per atom, E_form 516 kJ/mol of formula units. Number 6: total magnetic moment 0.00 μB per atom, E_form 488 kJ/mol of formula units.